(1)
The following is a DFT calculation (PBE) of crystalline Li4GaCuPd2 at its relaxed geometry.

Values from the calculation:
**Symmetry**: No. 115
**Final energy**: -3.511 eV per atom

Cell lengths 4.293, 4.293, 5.984 Å; angles 90.00, 90.00, 90.00 degrees
Sites, in units of the cell vectors:
Li  0.500  0.500  0.500
Cu  0.000  0.000  0.500
Ga  0.500  0.500  0.000
Pd  0.000  0.500  0.757
Pd  0.500  0.000  0.243
Li  0.000  0.500  0.261
Li  0.500  0.000  0.739
Li  0.000  0.000  0.000


(2)
The following is a DFT calculation (PBE) of crystalline Li4Ga2CuPd at its relaxed geometry.

Values from the calculation:
**Symmetry**: No. 115
**Final energy**: -3.221 eV per atom

Cell lengths 4.270, 4.270, 6.023 Å; angles 90.00, 90.00, 90.00 degrees
Sites, in units of the cell vectors:
Cu  0.500  0.500  0.000
Li  0.500  0.500  0.500
Li  0.000  0.000  0.000
Ga  0.000  0.500  0.247
Pd  0.000  0.000  0.500
Ga  0.500  0.000  0.753
Li  0.000  0.500  0.754
Li  0.500  0.000  0.246


(3)
The following is a DFT calculation (PBE) of crystalline Li2Sc2Ga2CuPd at its relaxed geometry.

Values from the calculation:
**Symmetry**: No. 115
**Final energy**: -4.463 eV per atom

Cell lengths 4.415, 4.415, 6.255 Å; angles 90.00, 90.00, 90.00 degrees
Sites, in units of the cell vectors:
Ga  0.500  0.000  0.255
Li  0.000  0.000  0.000
Cu  0.000  0.000  0.500
Sc  0.500  0.000  0.746
Ga  0.000  0.500  0.745
Pd  0.500  0.500  0.000
Sc  0.000  0.500  0.254
Li  0.500  0.500  0.500


(4)
The following is a DFT calculation (PBE) of crystalline Li4Ga2CuPt at its relaxed geometry.

Values from the calculation:
**Symmetry**: No. 115
**Final energy**: -3.389 eV per atom

Cell lengths 4.267, 4.267, 6.025 Å; angles 90.00, 90.00, 90.00 degrees
Sites, in units of the cell vectors:
Li  0.500  0.500  0.000
Li  0.500  0.000  0.751
Ga  0.000  0.500  0.750
Cu  0.000  0.000  0.000
Li  0.000  0.500  0.249
Li  0.000  0.000  0.500
Ga  0.500  0.000  0.250
Pt  0.500  0.500  0.500


(5)
The following is a DFT calculation (PBE) of crystalline LiGaCuPt at its relaxed geometry.

Values from the calculation:
**Energy above the most stable polymorph in this dataset**: 0.000 eV/atom
**Symmetry**: No. 216

Cell lengths 4.231, 4.231, 4.231 Å; angles 60.00, 60.00, 60.00 degrees
Sites, in units of the cell vectors:
Li  0.500  0.500  0.500
Pt  0.250  0.250  0.250
Cu  0.750  0.750  0.750
Ga  0.000  0.000  0.000


(6)
The following is a DFT calculation (PBE) of crystalline Li2Sc2Ga2CuPt at its relaxed geometry.

Values from the calculation:
**Symmetry**: No. 115
**Final energy**: -4.659 eV per atom

Cell lengths 4.427, 4.427, 6.259 Å; angles 90.00, 90.00, 90.00 degrees
Sites, in units of the cell vectors:
Li  0.000  0.000  0.500
Li  0.500  0.500  0.000
Ga  0.000  0.500  0.252
Sc  0.000  0.500  0.748
Sc  0.500  0.000  0.252
Ga  0.500  0.000  0.748
Cu  0.500  0.500  0.500
Pt  0.000  0.000  0.000


(7)
The following is a DFT calculation (PBE) of crystalline LiGaCuRe at its relaxed geometry.

Values from the calculation:
**Energy above the most stable polymorph in this dataset**: 0.000 eV/atom
**Symmetry**: No. 216

Cell lengths 4.210, 4.210, 4.210 Å; angles 60.00, 60.00, 60.00 degrees
Sites, in units of the cell vectors:
Li  0.500  0.500  0.500
Cu  0.750  0.750  0.750
Ga  0.000  0.000  0.000
Re  0.250  0.250  0.250


(8)
The following is a DFT calculation (PBE) of crystalline LiGaCuRe at its relaxed geometry.

Values from the calculation:
**Energy above the most stable polymorph in this dataset**: 0.110 eV/atom
**Symmetry**: No. 216

Cell lengths 4.207, 4.207, 4.207 Å; angles 60.00, 60.00, 60.00 degrees
Sites, in units of the cell vectors:
Cu  0.750  0.750  0.750
Ga  0.000  0.000  0.000
Li  0.250  0.250  0.250
Re  0.500  0.500  0.500


(9)
The following is a DFT calculation (PBE) of crystalline Li4GaCu2Sb at its relaxed geometry.

Values from the calculation:
**Symmetry**: No. 115
**Final energy**: -3.123 eV per atom

Cell lengths 4.284, 4.284, 6.246 Å; angles 90.00, 90.00, 90.00 degrees
Sites, in units of the cell vectors:
Li  0.000  0.500  0.232
Li  0.500  0.000  0.768
Li  0.000  0.000  0.500
Sb  0.500  0.500  0.500
Cu  0.500  0.000  0.231
Cu  0.000  0.500  0.769
Li  0.500  0.500  0.000
Ga  0.000  0.000  0.000


(10)
The following is a DFT calculation (PBE) of crystalline LiScGa2Cu4 at its relaxed geometry.

Values from the calculation:
**Symmetry**: No. 123
**Final energy**: -3.921 eV per atom

Cell lengths 4.275, 4.275, 6.054 Å; angles 90.00, 90.00, 90.00 degrees
Sites, in units of the cell vectors:
Li  0.500  0.500  0.000
Ga  0.000  0.000  0.000
Cu  0.000  0.500  0.769
Cu  0.500  0.000  0.231
Cu  0.000  0.500  0.231
Cu  0.500  0.000  0.769
Ga  0.500  0.500  0.500
Sc  0.000  0.000  0.500


(11)
The following is a DFT calculation (PBE) of crystalline LiScGaCu at its relaxed geometry.

Values from the calculation:
**Symmetry**: No. 115
**Final energy**: -4.151 eV per atom

Cell lengths 4.373, 4.373, 6.182 Å; angles 90.00, 90.00, 90.00 degrees
Sites, in units of the cell vectors:
Ga  0.000  0.000  0.500
Sc  0.000  0.000  0.000
Ga  0.500  0.500  0.000
Sc  0.500  0.500  0.500
Cu  0.000  0.500  0.250
Li  0.500  0.000  0.251
Li  0.000  0.500  0.749
Cu  0.500  0.000  0.750


(12)
The following is a DFT calculation (PBE) of crystalline Li2YScGa2Cu2 at its relaxed geometry.

Values from the calculation:
**Symmetry**: No. 115
**Final energy**: -4.146 eV per atom

Cell lengths 4.463, 4.463, 6.320 Å; angles 90.00, 90.00, 90.00 degrees
Sites, in units of the cell vectors:
Li  0.500  0.000  0.760
Ga  0.500  0.500  0.000
Y  0.500  0.500  0.500
Cu  0.000  0.500  0.765
Sc  0.000  0.000  0.000
Li  0.000  0.500  0.240
Cu  0.500  0.000  0.235
Ga  0.000  0.000  0.500


(13)
The following is a DFT calculation (PBE) of crystalline Li4GaCu2Sn at its relaxed geometry.

Values from the calculation:
**Symmetry**: No. 115
**Final energy**: -3.052 eV per atom

Cell lengths 4.322, 4.322, 6.120 Å; angles 90.00, 90.00, 90.00 degrees
Sites, in units of the cell vectors:
Cu  0.500  0.000  0.767
Li  0.000  0.500  0.767
Li  0.000  0.000  0.500
Li  0.500  0.000  0.233
Sn  0.500  0.500  0.500
Ga  0.000  0.000  0.000
Li  0.500  0.500  0.000
Cu  0.000  0.500  0.233